Record 1
An optimized crystal structure of Nb2IrRu4, computed with PBE.

Cell: 5.1902 9.5825 5.0242 Å, 90.00 118.68 90.00°
Fractional positions:
Nb 0.1818 0.0327 0.3414
Nb 0.1818 0.4673 0.8414
Nb 0.8182 0.5327 0.1586
Nb 0.8182 0.9673 0.6586
Ir 0.5000 0.0000 0.0000
Ir 0.5000 0.5000 0.5000
Ru 0.0953 0.1929 0.7994
Ru 0.0953 0.3071 0.2994
Ru 0.3998 0.7480 0.1967
Ru 0.3998 0.7520 0.6967
Ru 0.6002 0.2480 0.3033
Ru 0.6002 0.2520 0.8033
Ru 0.9047 0.6929 0.7006
Ru 0.9047 0.8071 0.2006

Summary:
Energy of formation in kJ/mol of formula units: -25
Total magnetization in μB per formula unit: 0.00
D(E_F) in states/eV/atom: 0.9837
Relative energy among the computed polymorphs in kJ/mol of atoms: 0.00
V in Å³ per atom: 15.66
VASP energy in eV/cell: -132.7
SG: P2_1/c (14)

***

Record 2
An optimized crystal structure of NbIr5Ru2, computed with PBE.

Cell: 7.2929 7.2929 7.2929 Å, 125.42 125.42 80.85°
Fractional positions:
Nb 0.2500 0.2500 0.0000
Nb 0.7500 0.7500 0.0000
Ir 0.0000 0.0000 0.0000
Ir 0.0251 0.5251 0.2131
Ir 0.1880 0.9749 0.5000
Ir 0.3120 0.8120 0.7869
Ir 0.4749 0.6880 0.5000
Ir 0.5000 0.5000 0.0000
Ir 0.5251 0.3120 0.5000
Ir 0.6880 0.1880 0.2131
Ir 0.8120 0.0251 0.5000
Ir 0.9749 0.4749 0.7869
Ru 0.1368 0.3632 0.5000
Ru 0.3632 0.8632 0.2263
Ru 0.6368 0.1368 0.7737
Ru 0.8632 0.6368 0.5000

Summary:
Energy of formation in kJ/mol of formula units: 123
Total magnetization in μB per formula unit: 0.00
D(E_F) in states/eV/atom: 1.2318
V in Å³ per atom: 15.52
VASP energy in eV/cell: -143.3
SG: I4/mcm (140)

***

Record 3
An optimized crystal structure of Nb4IrRu5, computed with PBE.

Cell: 4.7703 5.4826 6.6173 Å, 75.26 72.19 78.17°
Fractional positions:
Nb 0.1479 0.3746 0.3029
Nb 0.3002 0.1671 0.8761
Nb 0.6998 0.8329 0.1239
Nb 0.8521 0.6254 0.6971
Ir 0.5000 0.5000 0.5000
Ru 0.1062 0.8929 0.3026
Ru 0.2565 0.6699 0.9058
Ru 0.5000 0.0000 0.5000
Ru 0.7435 0.3301 0.0942
Ru 0.8938 0.1071 0.6974

Summary:
Energy of formation in kJ/mol of formula units: -246
Total magnetization in μB per formula unit: 0.00
D(E_F) in states/eV/atom: 0.6470
V in Å³ per atom: 15.78
VASP energy in eV/cell: -98.1
SG: P-1 (2)